Below is crystalline Zr4Fe3W2N3 at its relaxed geometry, with properties calculated at the PBE-GGA level.

Results
- mass density (g/cm³) = 9.44
- space group = C2/c (15)
- E (eV/f.u.) = -113.72

a = 5.3775 Å, b = 5.3775 Å, c = 13.6738 Å
α = 101.66°, β = 101.66°, γ = 59.49°
Atoms (fractional coordinates):
Fe1 0.4191 0.0120 0.2498
Fe2 0.8612 0.1388 0.2500
Fe3 0.9880 0.5809 0.2502
Fe4 0.0120 0.4191 0.7498
Fe5 0.1388 0.8612 0.7500
Fe6 0.5809 0.9880 0.7502
N1 0.0000 0.5000 0.0000
N2 0.6568 0.1828 0.0019
N3 0.8172 0.3432 0.4981
N4 0.5000 0.0000 0.5000
N5 0.1828 0.6568 0.5019
N6 0.3432 0.8172 0.9981
W1 0.3856 0.5489 0.1513
W2 0.4511 0.6144 0.3487
W3 0.5489 0.3856 0.6513
W4 0.6144 0.4511 0.8487
Zr1 0.0237 0.2023 0.0941
Zr2 0.6951 0.8595 0.0946
Zr3 0.1405 0.3049 0.4054
Zr4 0.7977 0.9763 0.4059
Zr5 0.2023 0.0237 0.5941
Zr6 0.8595 0.6951 0.5946
Zr7 0.3049 0.1405 0.9054
Zr8 0.9763 0.7977 0.9059